1.
VASP calculation (PBE-GGA) on a relaxed structure of YAl2Co.

```
8
Lattice="4.018 0.000 0.000 0.000 6.997 0.000 -2.006 0.000 5.079" Properties=species:S:1:pos:R:3 pbc="T T T"
Y 0.002 1.749 0.601
Y 2.009 5.247 4.478
Al 0.001 0.394 3.437
Al 0.001 3.104 3.437
Al 2.010 3.893 1.642
Al 2.010 6.602 1.642
Co 0.003 5.247 2.204
Co 2.009 1.749 2.875
```

Output
Density of states at the Fermi level: 3.72 states/eV/f.u.
Calculated formation energy: -543 meV per atom

***

2.
VASP calculation (PBE-GGA) on a relaxed structure of PaAg2Te5.

```
16
Lattice="3.010 -7.019 0.000 3.010 7.019 0.000 0.000 0.000 12.612" Properties=species:S:1:pos:R:3 pbc="T T T"
Pa 3.010 4.068 9.459
Pa 3.010 -4.068 3.153
Ag 3.010 4.595 0.825
Ag 3.010 4.595 5.481
Ag 3.010 -4.595 7.131
Ag 3.010 -4.595 11.786
Te 3.010 6.680 7.990
Te 3.010 6.680 10.928
Te 3.010 2.883 3.153
Te 3.010 2.250 7.126
Te 3.010 2.250 11.791
Te 3.010 -2.250 0.821
Te 3.010 -2.250 5.485
Te 3.010 -2.883 9.459
Te 3.010 -6.680 1.684
Te 3.010 -6.680 4.622
```

Output
Density of states at the Fermi level: 3.47 states/eV/f.u.
E_form (uncorrected): -0.26 eV per atom

***

3.
VASP calculation (PBE-GGA) on a relaxed structure of LiMnN.

```
3
Lattice="-1.286 1.286 4.577 1.286 -1.286 4.577 1.286 1.286 -4.577" Properties=species:S:1:pos:R:3 pbc="T T T"
Li 0.000 0.000 0.000
Mn 0.000 0.000 2.462
N 0.000 0.000 6.418
```

Output
Density of states at the Fermi level: 1.53 states/eV/f.u.
E_form (uncorrected): -0.14 eV per atom

***

4.
VASP calculation (PBE-GGA) on a relaxed structure of Cr5Se3.

```
8
Lattice="3.448 -3.967 0.000 3.448 3.967 0.000 0.000 0.000 4.195" Properties=species:S:1:pos:R:3 pbc="T T T"
Cr 0.000 0.000 0.000
Cr 1.724 1.984 0.000
Cr 2.010 0.000 2.098
Cr 1.724 -1.984 0.000
Cr 4.886 0.000 2.098
Se 3.448 2.371 2.098
Se 3.448 0.000 0.000
Se 3.448 -2.371 2.098
```

Output
Density of states at the Fermi level: 6.79 states/eV/f.u.
E above lowest polymorph: 1.46 eV per formula unit
E_form (uncorrected): 0.20 eV per atom

***

For reference, E by record: -5.8064; -4.1201; -6.6134; -7.1186 eV/atom.